1.
The following is a DFT calculation (GGA-PBE) of a relaxed structure of La2TaBe.

Properties
- Space-group type: No. 38
- Spin magnetization: 0.000 μB/f.u.
- Energy of formation from the pure elements: 35.9 kJ/mol of atoms

a b c (Å): 4.326 4.259 6.018
angles (deg): 69.23 90.00 90.00
Positions (direct):
Ta: 0.000 0.680 0.516
La: 0.500 0.270 0.337
La: 0.000 0.979 0.916
Be: 0.500 0.571 0.732

=====

2.
The following is a DFT calculation (GGA-PBE) of a relaxed structure of Tm2BeOs.

Properties
- Space-group type: No. 123
- ΔE to the lowest computed polymorph: 29.2 meV per atom
- Spin magnetization: 0.000 μB/f.u.
- Energy of formation from the pure elements: -11.4 kJ/mol of atoms

a b c (Å): 3.395 3.395 6.672
angles (deg): 90.00 90.00 90.00
Positions (direct):
Be: 0.500 0.500 0.500
Tm: 0.000 0.000 0.756
Tm: 0.000 0.000 0.244
Os: 0.500 0.500 0.000

=====

3.
The following is a DFT calculation (GGA-PBE) of a relaxed structure of InFe2Au.

Properties
- Space-group type: No. 122
- Spin magnetization: 5.357 μB/f.u.
- Energy of formation from the pure elements: 45.6 kJ/mol of atoms

a b c (Å): 3.844 3.844 9.929
angles (deg): 78.84 78.84 90.00
Site moments in Bohr magnetons follow the coordinates.
Positions (direct):
Fe: 0.375 0.370 0.750  2.73
Fe: 0.120 0.625 0.250  2.71
Fe: 0.630 0.125 0.250  2.73
Fe: 0.875 0.880 0.750  2.70
In: 0.500 0.500 0.000  -0.07
In: 0.250 0.750 0.500  -0.07
Au: 0.000 0.000 0.000  0.00
Au: 0.750 0.250 0.500  0.00

=====

4.
The following is a DFT calculation (GGA-PBE) of a relaxed structure of TbCeTeS2.

Properties
- Space-group type: No. 107
- Raw formation energy: -1597 meV per atom
- Spin magnetization: 1.001 μB/f.u.

a b c (Å): 4.500 4.500 7.583
angles (deg): 107.26 107.26 90.00
Site moments in Bohr magnetons follow the coordinates.
Positions (direct):
S: 0.252 0.752 0.505  -0.02
S: 0.752 0.252 0.505  -0.02
Te: 0.501 0.501 0.002  -0.02
Ce: 0.137 0.137 0.275  0.87
Tb: 0.857 0.857 0.713  0.06

=====

5.
The following is a DFT calculation (GGA-PBE) of a relaxed structure of CuSi2PbS6.

Properties
- Space-group type: No. 15
- Raw formation energy: -412 meV per atom
- Spin magnetization: 0.000 μB/f.u.

a b c (Å): 6.291 8.814 8.814
angles (deg): 89.79 77.27 77.27
Positions (direct):
S: 0.205 0.951 0.806
S: 0.439 0.855 0.417
S: 0.061 0.583 0.145
S: 0.000 0.703 0.568
S: 0.939 0.417 0.855
S: 0.705 0.806 0.951
S: 0.500 0.568 0.703
S: 0.000 0.297 0.432
S: 0.561 0.145 0.583
S: 0.795 0.049 0.194
S: 0.500 0.432 0.297
S: 0.295 0.194 0.049
Pb: 0.250 0.875 0.125
Pb: 0.750 0.125 0.875
Si: 0.717 0.230 0.367
Si: 0.217 0.367 0.230
Si: 0.283 0.770 0.633
Si: 0.783 0.633 0.770
Cu: 0.250 0.305 0.695
Cu: 0.750 0.695 0.305

=====

6.
The following is a DFT calculation (GGA-PBE) of a relaxed structure of CaCuRh2.

Properties
- Space-group type: No. 10
- ΔE to the lowest computed polymorph: 34.9 meV per atom
- Spin magnetization: 0.000 μB/f.u.
- Energy of formation from the pure elements: -0.8 kJ/mol of atoms

a b c (Å): 4.372 2.893 5.344
angles (deg): 78.86 90.00 90.00
Positions (direct):
Cu: 0.500 0.750 0.750
Ca: 0.500 0.250 0.250
Rh: 0.000 0.575 0.536
Rh: 0.000 0.925 0.964

=====

7.
The following is a DFT calculation (GGA-PBE) of a relaxed structure of TeSe.

Properties
- Space-group type: No. 59
- Raw formation energy: 123 meV per atom
- Spin magnetization: 0.000 μB/f.u.

a b c (Å): 4.382 4.065 7.139
angles (deg): 90.00 90.00 90.00
Positions (direct):
Se: 0.500 0.500 0.781
Se: 0.000 0.000 0.052
Te: 0.000 0.500 0.290
Te: 0.500 0.000 0.543

=====

8.
The following is a DFT calculation (GGA-PBE) of a relaxed structure of NaHfPa4N8.

Properties
- Space-group type: No. 160
- Raw formation energy: -1413 meV per atom
- Spin magnetization: 1.071 μB/f.u.

a b c (Å): 7.042 7.042 6.769
angles (deg): 58.65 58.65 60.00
Site moments in Bohr magnetons follow the coordinates.
Positions (direct):
N: 0.224 0.224 0.733  0.00
N: 0.224 0.820 0.733  0.00
N: 0.820 0.224 0.733  0.00
N: 0.762 0.218 0.258  -0.01
N: 0.218 0.762 0.258  -0.01
N: 0.229 0.229 0.313  0.00
N: 0.762 0.762 0.258  -0.01
N: 0.759 0.759 0.723  -0.01
Pa: 0.003 0.003 0.501  0.06
Pa: 0.493 0.003 0.501  0.06
Pa: 0.621 0.621 0.137  0.74
Pa: 0.003 0.493 0.501  0.06
Hf: 0.005 0.005 0.985  0.00
Na: 0.377 0.377 0.868  0.00

=====

9.
The following is a DFT calculation (GGA-PBE) of a relaxed structure of CeTh3Sb4.

Properties
- Space-group type: No. 13
- Raw formation energy: -954 meV per atom
- Spin magnetization: 0.890 μB/f.u.

a b c (Å): 7.804 7.820 8.984
angles (deg): 90.00 90.00 109.31
Site moments in Bohr magnetons follow the coordinates.
Positions (direct):
Th: 0.250 0.500 0.375  0.01
Th: 0.250 0.500 0.875  0.00
Th: 0.750 0.500 0.625  0.01
Th: 0.750 0.500 0.125  0.00
Th: 0.750 0.000 0.375  0.01
Th: 0.250 0.000 0.625  0.01
Ce: 0.750 0.000 0.876  0.78
Ce: 0.250 0.000 0.124  0.78
Sb: 0.501 0.751 0.626  0.00
Sb: 0.999 0.751 0.876  -0.01
Sb: 0.499 0.751 0.124  -0.01
Sb: 0.999 0.249 0.626  0.00
Sb: 0.499 0.249 0.374  0.00
Sb: 0.501 0.249 0.876  -0.01
Sb: 0.001 0.249 0.124  -0.01
Sb: 0.001 0.751 0.374  0.00

=====

10.
The following is a DFT calculation (GGA-PBE) of a relaxed structure of MnBe2Cr.

Properties
- Space-group type: No. 119
- ΔE to the lowest computed polymorph: 0.0 meV per atom
- Spin magnetization: 0.000 μB/f.u.
- Energy of formation from the pure elements: -7.2 kJ/mol of atoms

a b c (Å): 3.783 3.783 3.783
angles (deg): 119.93 119.93 90.12
Positions (direct):
Be: 0.000 0.000 0.000
Be: 0.250 0.750 0.500
Mn: 0.750 0.250 0.500
Cr: 0.500 0.500 0.000

=====

11.
The following is a DFT calculation (GGA-PBE) of a relaxed structure of AcHoNi.

Properties
- Space-group type: No. 71
- ΔE to the lowest computed polymorph: 93.7 meV per atom
- Spin magnetization: 0.000 μB/f.u.
- Energy of formation from the pure elements: -3.6 kJ/mol of atoms

a b c (Å): 8.326 8.326 8.326
angles (deg): 154.03 132.43 54.99
Positions (direct):
Ac: 0.635 0.135 0.500
Ac: 0.365 0.865 0.500
Ho: 0.113 0.613 0.500
Ho: 0.887 0.387 0.500
Ni: 0.182 0.000 0.182
Ni: 0.818 0.000 0.818

=====

12.
The following is a DFT calculation (GGA-PBE) of a relaxed structure of TiAgCl3.

Properties
- Space-group type: No. 221
- ΔE to the lowest computed polymorph: 0.0 meV per atom
- Raw formation energy: -794 meV per atom
- Spin magnetization: 1.790 μB/f.u.

a b c (Å): 4.904 4.904 4.904
angles (deg): 90.00 90.00 90.00
Site moments in Bohr magnetons follow the coordinates.
Positions (direct):
Ag: 0.500 0.500 0.500  0.05
Cl: 0.000 0.500 0.000  -0.01
Cl: 0.000 0.000 0.500  -0.01
Cl: 0.500 0.000 0.000  -0.02
Ti: 0.000 0.000 0.000  1.39

=====

Q: Which value of spin magnetization does entry 9 give?
A: 0.890 μB/f.u.